Record 1
YSn2Mo PBE relaxed; M_tot = 0.595 Bohr magnetons per cell; uncorrected energy = -6.024 eV per atom
1.0
0.0000 3.5605 3.5605
3.5605 0.0000 3.5605
3.5605 3.5605 0.0000
Y Sn Mo
1 2 1
direct
0.0000 0.0000 0.0000 Y
0.2500 0.2500 0.2500 Sn
0.5000 0.5000 0.5000 Sn
0.7500 0.7500 0.7500 Mo

***

Record 2
NdMg2Al3Si2Pt PBE relaxed; M_tot = 0.001 Bohr magnetons per cell; uncorrected energy = -4.576 eV per atom
1.0
4.1815 0.0000 0.0000
0.0000 5.8983 3.3862
0.0000 -5.8983 3.3862
Nd Mg Al Si Pt
1 2 3 2 1
direct
0.0000 0.0000 0.0000 Nd
0.0000 0.4225 0.8341 Mg
0.0000 0.8341 0.4225 Mg
0.5000 0.1894 0.4303 Al
0.5000 0.4303 0.1894 Al
0.5000 0.6665 0.6665 Al
0.5000 0.1085 0.7581 Si
0.5000 0.7581 0.1085 Si
0.0000 0.4464 0.4464 Pt

***

Record 3
PrPtNO PBE relaxed; M_tot = 0.001 Bohr magnetons per cell; relative energy among the computed polymorphs = 199 meV/atom
1.0
4.7461 0.0000 0.0000
0.0000 6.7223 0.0000
0.0000 0.0000 4.8646
Pr Pt N O
2 2 2 2
direct
0.0000 0.1952 0.0000 Pr
0.0000 0.8048 0.5000 Pr
0.5000 0.4447 0.5925 Pt
0.5000 0.5553 0.0925 Pt
0.5000 0.2856 0.9133 N
0.5000 0.7144 0.4133 N
0.0000 0.1341 0.4852 O
0.0000 0.8659 0.9852 O

***

Which formula does entry 1 have?
YSn2Mo

***

Which value of M_tot does entry 2 give?
0.001 Bohr magnetons per cell

***

M_tot of number 1 (YSn2Mo)?
0.595 Bohr magnetons per cell